DFT (GGA-PBE) results for a geometry-optimized Zr3TlSe structure.

Computed properties:
E above lowest polymorph: 362 meV/atom
size of the total moment: 0.00 μB/cell

Unit cell a=5.0121 b=5.0121 c=5.0121 alpha=90.00 beta=90.00 gamma=90.00
Closest atoms and distances in Å follow each position.
Space group Pm-3m (No. 221)
One atom of each set of equivalent atoms:
Zr 0.0000 0.0000 0.5000  2 Se 2.51
Tl 0.5000 0.5000 0.5000  12 Zr 3.54
Se 0.0000 0.0000 0.0000  6 Zr 2.51


DFT (GGA-PBE) results for a geometry-optimized TbLuCdRu structure.

Computed properties:
energy of formation: -1.2 eV per formula unit
size of the total moment: 0.00 μB/cell

Unit cell a=7.0597 b=7.0597 c=7.0597 alpha=90.00 beta=90.00 gamma=90.00
Closest atoms and distances in Å follow each position.
Space group F-43m (No. 216)
One atom of each set of equivalent atoms:
Tb 0.0000 0.0000 0.0000  4 Ru 3.06, 4 Cd 3.06
Lu 0.0000 0.0000 0.5000  4 Cd 3.06, 4 Ru 3.06
Cd 0.2500 0.2500 0.7500  4 Tb 3.06, 4 Lu 3.06
Ru 0.2500 0.2500 0.2500  4 Lu 3.06, 4 Tb 3.06


DFT (GGA-PBE) results for a geometry-optimized CeTiB structure.

Computed properties:
energy of formation: -0.5 eV per formula unit
size of the total moment: 0.00 μB/cell

Unit cell a=3.7314 b=3.7314 c=7.0329 alpha=90.00 beta=90.00 gamma=90.00
Closest atoms and distances in Å follow each position.
Space group P4/nmm (No. 129, origin choice 2)
One atom of each set of equivalent atoms:
Ce 0.2500 0.2500 0.1291  5 B 2.85-2.90
Ti 0.2500 0.7500 0.5000  4 B 2.41, 4 Ti 2.64
B 0.2500 0.2500 0.7164  4 Ti 2.41


DFT (GGA-PBE) results for a geometry-optimized Sn2GeAu structure.

Computed properties:
energy of formation: 0.1 eV per formula unit
size of the total moment: 0.00 μB/cell

Unit cell a=4.1448 b=4.1448 c=19.9256 alpha=90.00 beta=90.00 gamma=120.00
Closest atoms and distances in Å follow each position.
Space group R3m (No. 160, hexagonal axes)
One atom of each set of equivalent atoms:
Sn 0.0000 0.0000 0.0000  3 Au 2.88, 3 Ge 3.05
Sn 0.0000 0.0000 0.1666  3 Ge 2.79, 3 Au 2.94
Ge 0.0000 0.0000 0.5719  6 Sn 2.79-3.05
Au 0.0000 0.0000 0.4139  6 Sn 2.88-2.94, 1 Ge 3.15


DFT (GGA-PBE) results for a geometry-optimized KLaAg10 structure.

Computed properties:
energy of formation: -0.8 eV per formula unit
size of the total moment: 0.00 μB/cell

Unit cell a=4.6898 b=5.7088 c=9.9790 alpha=90.00 beta=90.00 gamma=90.00
Closest atoms and distances in Å follow each position.
Space group Pmmm (No. 47)
One atom of each set of equivalent atoms:
K 0.0000 0.0000 0.0000  10 Ag 3.33-3.69
La 0.0000 0.5000 0.5000  14 Ag 3.27-3.65
Ag 0.0000 0.0000 0.3371  6 Ag 2.85-2.87
Ag 0.0000 0.5000 0.1722  6 Ag 2.86-2.91
Ag 0.5000 0.0000 0.5000  8 Ag 2.82-2.85
Ag 0.5000 0.2558 0.2577  8 Ag 2.79-2.93
Ag 0.5000 0.5000 0.0000  8 Ag 2.91-2.93


DFT (GGA-PBE) results for a geometry-optimized Ta2InP structure.

Computed properties:
energy of formation: -0.3 eV per formula unit
E above lowest polymorph: 216 meV/atom
size of the total moment: 0.00 μB/cell

Unit cell a=3.4905 b=5.0163 c=8.2655 alpha=90.00 beta=90.00 gamma=90.00
Closest atoms and distances in Å follow each position.
Space group Immm (No. 71)
One atom of each set of equivalent atoms:
Ta 0.0000 0.0000 0.2020  2 P 2.42
In 0.0000 0.5000 0.0000  8 Ta 3.01-3.02, 4 P 3.06
P 0.0000 0.5000 0.5000  4 Ta 2.42


DFT (GGA-PBE) results for a geometry-optimized Tl4SbPb structure.

Computed properties:
E above lowest polymorph: 22 meV/atom
size of the total moment: 0.00 μB/cell

Unit cell a=5.4197 b=21.7126 c=6.7321 alpha=90.00 beta=90.00 gamma=90.00
Closest atoms and distances in Å follow each position.
Space group Cmc2_1 (No. 36)
One atom of each set of equivalent atoms:
Tl 0.0000 0.0399 0.0000  2 Sb 3.38, 4 Tl 3.43-3.61
Tl 0.0000 0.2643 0.1009  3 Tl 3.15-3.35, 1 Sb 3.20, 2 Pb 3.48
Tl 0.0000 0.3093 0.6244  1 Sb 3.15, 4 Tl 3.15-3.35
Tl 0.0000 0.4473 0.8093  2 Sb 3.22-3.28, 5 Tl 3.25-3.61, 2 Pb 3.55
Sb 0.0000 0.4024 0.2657  6 Tl 3.15-3.38, 2 Pb 3.39
Pb 0.0000 0.1406 0.4970  2 Sb 3.39, 6 Tl 3.48-3.78


DFT (GGA-PBE) results for a geometry-optimized KVCl6 structure.

Computed properties:
E above lowest polymorph: 19 meV/atom
size of the total moment: 0.00 μB/cell

Unit cell a=6.7556 b=6.7556 c=18.3948 alpha=90.00 beta=90.00 gamma=120.00
Closest atoms and distances in Å follow each position.
Space group R-3m (No. 166, hexagonal axes)
One atom of each set of equivalent atoms:
K 0.0000 0.0000 0.0000  12 Cl 3.81
V 0.0000 0.0000 0.5000  6 Cl 2.28
Cl 0.0157 0.5079 0.0952  1 V 2.28


DFT (GGA-PBE) results for a geometry-optimized BPdAu2 structure.

Computed properties:
energy of formation: 1.1 eV per formula unit
size of the total moment: 0.00 μB/cell

Unit cell a=6.9020 b=6.9020 c=5.1250 alpha=90.00 beta=90.00 gamma=90.00
Closest atoms and distances in Å follow each position.
Space group I-42d (No. 122)
One atom of each set of equivalent atoms:
B 0.0000 0.0000 0.0000  4 Au 2.17
Pd 0.0000 0.0000 0.5000  2 B 2.56, 4 Au 2.83
Au 0.1677 0.2500 0.1250  2 B 2.17


DFT (GGA-PBE) results for a geometry-optimized Nd5Dy12Ho2 structure.

Computed properties:
energy of formation: 4.0 eV per formula unit
E above lowest polymorph: 194 meV/atom
size of the total moment: 0.00 μB/cell

Unit cell a=17.8384 b=9.0923 c=8.6794 alpha=90.00 beta=115.77 gamma=90.00
Closest atoms and distances in Å follow each position.
Space group C2/m (No. 12)
One atom of each set of equivalent atoms:
Nd 0.0000 0.0000 0.0000  6 Dy 3.20-3.52
Nd 0.2113 0.5000 0.7234  9 Dy 3.61-4.03, 2 Ho 3.75, 1 Nd 3.89
Nd 0.2370 0.0000 0.7927  5 Dy 3.12-3.47
Dy 0.0457 0.0000 0.6824  1 Dy 2.86, 2 Nd 3.12-3.20
Dy 0.0608 0.5000 0.2169  7 Dy 3.32-3.63, 2 Ho 3.46, 1 Nd 3.64
Dy 0.1268 0.2770 0.9551  2 Nd 3.19-3.52, 1 Dy 3.33
Dy 0.1453 0.1851 0.4058  1 Ho 3.30, 4 Dy 3.32-3.57, 2 Nd 3.47-3.62
Ho 0.0000 0.3271 0.5000  1 Ho 3.14, 6 Dy 3.30-3.46


DFT (GGA-PBE) results for a geometry-optimized Zr2MoOs structure.

Computed properties:
energy of formation: 0.5 eV per formula unit
size of the total moment: 0.00 μB/cell

Unit cell a=8.6987 b=3.1302 c=5.5710 alpha=90.00 beta=100.58 gamma=90.00
Closest atoms and distances in Å follow each position.
Space group C2/m (No. 12)
One atom of each set of equivalent atoms:
Zr 0.2448 0.0000 0.2454  3 Mo 2.77-2.87, 3 Os 2.79-2.81
Mo 0.0000 0.0000 0.5000  6 Zr 2.77-2.87
Os 0.0000 0.5000 0.0000  6 Zr 2.79-2.81


DFT (GGA-PBE) results for a geometry-optimized MnP2IrS structure.

Computed properties:
E above lowest polymorph: 0 meV/atom
size of the total moment: 0.19 μB/cell

Unit cell a=4.3122 b=4.3122 c=4.2534 alpha=90.00 beta=90.00 gamma=90.00
Closest atoms and distances in Å follow each position.
Space group P4/mmm (No. 123)
One atom of each set of equivalent atoms:
Mn 0.0000 0.0000 0.0000  2 S 2.13, 4 P 2.16
P 0.0000 0.5000 0.0000  2 Mn 2.16
Ir 0.5000 0.5000 0.5000  8 P 3.03, 4 S 3.05
S 0.0000 0.0000 0.5000  2 Mn 2.13


DFT (GGA-PBE) results for a geometry-optimized TmCuI structure.

Computed properties:
calculated total energy: -3.985 eV per atom
size of the total moment: 0.00 μB/cell

Unit cell a=3.8920 b=20.6754 c=4.1543 alpha=90.00 beta=90.00 gamma=90.00
Closest atoms and distances in Å follow each position.
Space group Cmcm (No. 63)
One atom of each set of equivalent atoms:
Tm 0.0000 0.0685 0.2500  6 Cu 2.81-2.96
Cu 0.0000 0.4704 0.2500  2 Cu 2.41
I 0.0000 0.3393 0.2500  1 Cu 2.71


DFT (GGA-PBE) results for a geometry-optimized BaHfSb2 structure.

Computed properties:
E above lowest polymorph: 0 meV/atom
size of the total moment: 0.00 μB/cell

Unit cell a=4.3712 b=4.3712 c=23.5851 alpha=90.00 beta=90.00 gamma=120.00
Closest atoms and distances in Å follow each position.
Space group R-3m (No. 166, hexagonal axes)
One atom of each set of equivalent atoms:
Ba 0.0000 0.0000 0.0000  6 Sb 3.46
Hf 0.0000 0.0000 0.5000  6 Sb 2.97
Sb 0.0000 0.0000 0.2329  3 Hf 2.97


DFT (GGA-PBE) results for a geometry-optimized LiLaGdCu structure.

Computed properties:
energy of formation: 0.0 eV per formula unit
size of the total moment: 31.43 μB/cell

Unit cell a=7.3270 b=7.3270 c=7.3270 alpha=90.00 beta=90.00 gamma=90.00
Closest atoms and distances in Å follow each position.
Space group F-43m (No. 216)
One atom of each set of equivalent atoms:
Li 0.0000 0.0000 0.0000  4 Gd 3.17, 4 La 3.17
La 0.2500 0.2500 0.2500  4 Li 3.17, 4 Cu 3.17
Gd 0.2500 0.2500 0.7500  4 Li 3.17, 4 Cu 3.17
Cu 0.0000 0.0000 0.5000  4 Gd 3.17, 4 La 3.17


DFT (GGA-PBE) results for a geometry-optimized ScP2IrCl structure.

Computed properties:
E above lowest polymorph: 682 meV/atom
size of the total moment: 0.87 μB/cell

Unit cell a=4.9707 b=4.9707 c=4.6073 alpha=90.00 beta=90.00 gamma=90.00
Closest atoms and distances in Å follow each position.
Space group P4/mmm (No. 123)
One atom of each set of equivalent atoms:
Sc 0.0000 0.0000 0.0000  2 Cl 2.30, 4 P 2.49
P 0.0000 0.5000 0.0000  2 Sc 2.49
Ir 0.5000 0.5000 0.5000  8 P 3.39, 4 Cl 3.51
Cl 0.0000 0.0000 0.5000  2 Sc 2.30


DFT (GGA-PBE) results for a geometry-optimized Dy4Ho3Tm8 structure.

Computed properties:
energy of formation: 2.1 eV per formula unit
E above lowest polymorph: 0 meV/atom
size of the total moment: 0.00 μB/cell

Unit cell a=6.8312 b=6.8312 c=34.7524 alpha=90.00 beta=90.00 gamma=120.00
Closest atoms and distances in Å follow each position.
Space group R-3m (No. 166, hexagonal axes)
One atom of each set of equivalent atoms:
Dy 0.0000 0.0000 0.0000  6 Ho 3.42, 6 Tm 3.50
Dy 0.0000 0.0000 0.1635  4 Tm 3.18-3.43
Dy 0.0000 0.0000 0.5000  6 Tm 3.51
Ho 0.0000 0.5000 0.0000  6 Tm 3.36-3.49, 2 Dy 3.42, 4 Ho 3.42
Tm 0.0000 0.0000 0.2550  1 Dy 3.18, 3 Ho 3.36, 6 Tm 3.42
Tm 0.0016 0.5008 0.2505  6 Tm 3.40-3.43, 3 Dy 3.43-3.51, 2 Ho 3.49


DFT (GGA-PBE) results for a geometry-optimized CaAsP2O structure.

Computed properties:
E above lowest polymorph: 0 meV/atom
size of the total moment: 0.00 μB/cell

Unit cell a=5.0188 b=5.0188 c=3.7340 alpha=90.00 beta=90.00 gamma=90.00
Closest atoms and distances in Å follow each position.
Space group P4/mmm (No. 123)
One atom of each set of equivalent atoms:
Ca 0.0000 0.0000 0.0000  8 P 3.13
As 0.5000 0.5000 0.5000  2 O 1.87
P 0.0000 0.5000 0.5000  2 As 2.51
O 0.5000 0.5000 0.0000  2 As 1.87


DFT (GGA-PBE) results for a geometry-optimized PmEr3Au2 structure.

Computed properties:
energy of formation: -3.8 eV per formula unit
E above lowest polymorph: 0 meV/atom
size of the total moment: 0.00 μB/cell

Unit cell a=4.9520 b=8.9276 c=7.1511 alpha=90.00 beta=90.00 gamma=90.00
Closest atoms and distances in Å follow each position.
Space group Pmc2_1 (No. 26)
One atom of each set of equivalent atoms:
Pm 0.0000 0.0745 0.0000  3 Au 3.01-3.18
Er 0.0000 0.3318 0.6358  4 Au 2.87-3.02
Er 0.5000 0.1714 0.3379  4 Au 2.88-3.05
Er 0.5000 0.4291 0.9735  3 Au 2.95-3.18
Au 0.0000 0.3537 0.2353  6 Er 2.87-3.18, 1 Pm 3.01
Au 0.5000 0.1566 0.7406  5 Er 2.88-3.02, 2 Pm 3.18


DFT (GGA-PBE) results for a geometry-optimized PrNd2ErP4 structure.

Computed properties:
energy of formation: -12.3 eV per formula unit
size of the total moment: 0.00 μB/cell

Unit cell a=7.1494 b=4.1322 c=7.1496 alpha=90.00 beta=109.46 gamma=90.00
Closest atoms and distances in Å follow each position.
Space group P2/m (No. 10)
One atom of each set of equivalent atoms:
Pr 0.0000 0.0000 0.0000  6 P 2.93
Nd 0.0000 0.5000 0.5000  6 P 2.97
Nd 0.5000 0.0000 0.5000  6 P 2.91
Er 0.5000 0.5000 0.0000  6 P 2.87
P 0.2555 0.5000 0.2473  1 Er 2.87, 3 Nd 2.91-2.97, 2 Pr 2.93
P 0.2586 0.0000 0.7572  2 Er 2.87, 3 Nd 2.91-2.97, 1 Pr 2.93